LaTc3As | PBE | optimized geometry

The calculation puts the energy of formation at 2.193 eV/atom. The value obtained for the raw total energy is -5.9423 eV/atom. As for the total moment: 1.90 μB/f.u.

The structure belongs to space group Pm-3m (No. 221); the cell edges are 4.797, 4.797 and 4.797 Å and the angles 90.00°, 90.00° and 90.00°. The inequivalent atoms are La at (0.000, 0.000, 0.000), Tc at (0.000, 0.000, 0.500) and As at (0.500, 0.500, 0.500).